4
Lattice="-1.663 0.396 -2.502 -0.542 -2.980 -0.112 -6.630 1.034 4.571" Properties=species:S:1:pos:R:3 comment="Pa2CuNi (PBE-GGA, optimized geometry)" n_ef_per_ev_atom=1.44 delta_e_f_mev_per_atom=-58 dft_energy_ev_per_atom=-7.275 polymorph_energy_mev_per_atom=0 pbc="T T T"
Ni -1.102 -1.292 -1.307
Pa -5.047 0.787 3.479
Pa -1.584 0.247 1.092
Cu -4.417 -0.775 0.978

---

30
Lattice="10.150 0.000 0.000 0.000 10.150 0.000 0.000 0.000 5.337" Properties=species:S:1:pos:R:3 comment="Ta14Rh (PBE-GGA, optimized geometry)" n_ef_per_ev_atom=0.99 delta_e_f_mev_per_atom=-80 dft_energy_ev_per_atom=-11.633 pbc="T T T"
Rh 0.000 0.000 0.000
Rh 5.075 5.075 2.668
Ta 4.040 6.109 0.000
Ta 6.109 4.040 0.000
Ta 9.115 9.115 2.668
Ta 1.035 1.035 2.668
Ta 1.323 5.438 0.000
Ta 8.827 4.711 0.000
Ta 9.786 6.397 2.668
Ta 0.364 3.752 2.668
Ta 3.752 0.364 2.668
Ta 6.397 9.786 2.668
Ta 5.438 1.323 0.000
Ta 4.711 8.827 0.000
Ta 0.665 2.605 0.000
Ta 9.485 7.544 0.000
Ta 2.470 5.740 2.668
Ta 7.680 4.410 2.668
Ta 4.410 7.680 2.668
Ta 5.740 2.470 2.668
Ta 2.605 0.665 0.000
Ta 7.544 9.485 0.000
Ta 3.217 3.217 1.320
Ta 6.933 6.933 1.320
Ta 1.858 8.292 3.988
Ta 8.292 1.858 3.988
Ta 1.858 8.292 1.349
Ta 8.292 1.858 1.349
Ta 3.217 3.217 4.017
Ta 6.933 6.933 4.017

---

4
Lattice="-2.545 -1.113 -0.242 -0.286 -2.715 -0.568 -0.966 -2.569 5.919" Properties=species:S:1:pos:R:3 comment="DyBO2 (PBE-GGA, optimized geometry)" n_ef_per_ev_atom=0.33 dft_energy_ev_per_atom=-6.012 e_form_raw_mev_per_atom=-713 pbc="T T T"
B -1.898 -3.199 2.554
O -0.958 -2.099 3.667
O -2.839 -4.299 1.441
Dy 0.000 0.000 0.000

---

6
Lattice="4.794 0.000 0.000 0.000 4.794 0.000 0.000 0.000 9.290" Properties=species:S:1:pos:R:3 comment="SrThPb (PBE-GGA, optimized geometry)" n_ef_per_ev_atom=1.02 delta_e_f_mev_per_atom=-343 dft_energy_ev_per_atom=-4.613 pbc="T T T"
Sr 0.000 2.397 7.924
Sr 2.397 0.000 1.366
Pb 0.000 2.397 2.197
Pb 2.397 0.000 7.093
Th 2.397 2.397 4.645
Th 0.000 0.000 4.645

---

4
Lattice="-0.913 -4.401 1.696 -4.469 -1.196 1.295 -2.514 -3.122 -2.649" Properties=species:S:1:pos:R:3 comment="ReBi2Ru (PBE-GGA, optimized geometry)" n_ef_per_ev_atom=0.69 delta_e_f_mev_per_atom=805 dft_energy_ev_per_atom=-6.566 polymorph_energy_mev_per_atom=0 pbc="T T T"
Re -3.948 -4.360 0.171
Bi -1.974 -2.180 0.086
Bi -5.922 -6.539 0.257
Ru 0.000 0.000 0.000

---

8
Lattice="10.402 0.000 0.000 0.000 10.402 0.000 5.201 5.201 2.513" Properties=species:S:1:pos:R:3 comment="TeRhBr2 (PBE-GGA, optimized geometry)" n_ef_per_ev_atom=0.76 dft_energy_ev_per_atom=-3.376 e_form_raw_mev_per_atom=83 pbc="T T T"
Te 0.000 0.000 0.000
Te 10.402 5.201 1.256
Rh 5.201 5.201 0.000
Rh 5.201 10.402 1.256
Br 5.190 2.600 0.628
Br 5.212 7.801 0.628
Br 7.801 10.412 1.885
Br 13.002 10.391 1.885

---

Copy entry 6 word for word.
8
Lattice="10.402 0.000 0.000 0.000 10.402 0.000 5.201 5.201 2.513" Properties=species:S:1:pos:R:3 comment="TeRhBr2 (PBE-GGA, optimized geometry)" n_ef_per_ev_atom=0.76 dft_energy_ev_per_atom=-3.376 e_form_raw_mev_per_atom=83 pbc="T T T"
Te 0.000 0.000 0.000
Te 10.402 5.201 1.256
Rh 5.201 5.201 0.000
Rh 5.201 10.402 1.256
Br 5.190 2.600 0.628
Br 5.212 7.801 0.628
Br 7.801 10.412 1.885
Br 13.002 10.391 1.885

---

Which formula does entry 3 have?
DyBO2